An optimized crystal structure of FeBrCl, computed with PBE.

Cell lengths 7.126, 7.126, 7.126 Å; angles 154.00, 154.00, 37.09 degrees
Site moments in Bohr magnetons follow the coordinates.
Atoms (fractional coordinates):
1 Cl 0.279 0.279 0.000  0.16
2 Fe 0.671 0.671 0.000  3.46
3 Br 0.050 0.050 0.000  0.23

Results
* energy above the lowest structure with this stoichiometry: 379 meV per atom
* space group: No. 107
* formation energy without anion corrections: -55.7 kJ/mol of formula units